Record 1
Below is a relaxed structure of HfPb2WO, with properties calculated at the PBE with a Hubbard U level.

Cell: 5.7516 3.7481 5.7516 Å, 90.00 90.00 90.00°
Last column: nearest neighbours and their distance in Å.
Fractional coordinates of all 5 atoms:
1 Pb 0.5000 0.0000 0.0000  2 W 2.88
2 Pb 0.0000 0.0000 0.5000  2 W 2.88
3 W 0.0000 0.0000 0.0000  2 O 1.87
4 O 0.0000 0.5000 0.0000  2 W 1.87
5 Hf 0.5000 0.5000 0.5000  8 Pb 3.43, 2 Hf 3.75

Electronic total energy   -28.3 eV per cell
SG   P4/mmm
Size of the total moment   0.2998 μB/atom



Record 2
Below is a relaxed structure of NpTaNiO6, with properties calculated at the PBE with a Hubbard U level.

Cell: 5.4552 5.4552 8.8309 Å, 90.00 90.00 120.00°
Last column: nearest neighbours and their distance in Å.
Fractional coordinates of all 18 atoms:
1 O 0.6661 0.6473 0.1310  1 Ta 2.01, 1 Np 2.15, 1 Ni 2.20
2 O 0.9813 0.6473 0.3690  1 Ta 2.01, 1 Np 2.15, 1 Ni 2.20
3 O 0.6661 0.0187 0.3690  1 Ta 2.01, 1 Np 2.15, 1 Ni 2.20
4 O 0.3339 0.3527 0.8690  1 Ta 2.01, 1 Np 2.15, 1 Ni 2.20
5 O 0.0187 0.3527 0.6310  1 Ta 2.01, 1 Np 2.15, 1 Ni 2.20
6 O 0.3527 0.3339 0.3690  1 Ta 2.01, 1 Np 2.15, 1 Ni 2.20
7 O 0.9813 0.3339 0.1310  1 Ta 2.01, 1 Np 2.15, 1 Ni 2.20
8 O 0.6473 0.9813 0.8690  1 Ta 2.01, 1 Np 2.15, 1 Ni 2.20
9 O 0.3339 0.9813 0.6310  1 Ta 2.01, 1 Np 2.15, 1 Ni 2.20
10 O 0.3527 0.0187 0.1310  1 Ta 2.01, 1 Np 2.15, 1 Ni 2.20
11 O 0.0187 0.6661 0.8690  1 Ta 2.01, 1 Np 2.15, 1 Ni 2.20
12 O 0.6473 0.6661 0.6310  1 Ta 2.01, 1 Np 2.15, 1 Ni 2.20
13 Np 0.6667 0.3333 0.7500  6 O 2.15
14 Np 0.3333 0.6667 0.2500  6 O 2.15
15 Ta 0.6667 0.3333 0.2500  6 O 2.01
16 Ta 0.3333 0.6667 0.7500  6 O 2.01
17 Ni 0.0000 0.0000 0.5000  6 O 2.20
18 Ni 0.0000 0.0000 0.0000  6 O 2.20

Electronic total energy   -156.3 eV per cell
SG   P-31c
Size of the total moment   0.4444 μB/atom